# 1
A plane-wave DFT calculation with PBE was carried out for a geometry-optimized CeZr3Mn8 structure.

Computed properties:
E_tot, eV per atom: -8.81
Magnetization, μB/cell: 8.54

Unit cell a=5.082 b=5.082 c=8.016 alpha=90.00 beta=90.00 gamma=120.00
Element x y z (fractional)
Ce 0.000 0.000 0.000
Zr 0.000 0.000 0.384
Zr 0.667 0.333 0.509
Zr 0.667 0.333 0.886
Mn 0.001 0.500 0.203
Mn 0.167 0.334 0.690
Mn 0.167 0.833 0.690
Mn 0.333 0.667 0.451
Mn 0.333 0.667 0.947
Mn 0.500 0.500 0.203
Mn 0.500 0.999 0.203
Mn 0.666 0.833 0.690


# 2
A plane-wave DFT calculation with PBE was carried out for a geometry-optimized CeZr2Mn structure.

Computed properties:
Magnetization, μB/cell: 0.38
Excess energy over the best structure of this formula in the dataset, meV/atom: 237

Unit cell a=10.122 b=10.122 c=10.122 alpha=17.82 beta=17.82 gamma=17.82
Element x y z (fractional)
Ce 0.000 0.000 0.000
Zr 0.103 0.103 0.103
Zr 0.897 0.897 0.897
Mn 0.500 0.500 0.500


# 3
A plane-wave DFT calculation with PBE was carried out for a geometry-optimized CeZr2Mn structure.

Computed properties:
Magnetization, μB/cell: 0.25
Excess energy over the best structure of this formula in the dataset, meV/atom: 0

Unit cell a=3.196 b=3.196 c=8.182 alpha=90.00 beta=90.00 gamma=90.00
Element x y z (fractional)
Ce 0.000 0.000 0.000
Zr 0.500 0.500 0.311
Zr 0.500 0.500 0.689
Mn 0.000 0.000 0.500


# 4
A plane-wave DFT calculation with PBE was carried out for a geometry-optimized Ce5Mo structure.

Computed properties:
E_tot, eV per atom: -6.56
Magnetization, μB/cell: 0.00

Unit cell a=7.164 b=7.164 c=4.643 alpha=90.00 beta=90.00 gamma=142.43
Element x y z (fractional)
Ce 0.000 0.000 0.000
Ce 0.166 0.834 0.500
Ce 0.344 0.656 0.000
Ce 0.656 0.344 0.000
Ce 0.834 0.166 0.500
Mo 0.500 0.500 0.500


# 5
A plane-wave DFT calculation with PBE was carried out for a geometry-optimized Ce4Mo structure.

Computed properties:
E_tot, eV per atom: -6.54
Magnetization, μB/cell: 2.58

Unit cell a=5.368 b=5.368 c=5.368 alpha=90.00 beta=90.00 gamma=90.00
Element x y z (fractional)
Ce 0.000 0.000 0.000
Ce 0.000 0.500 0.500
Ce 0.500 0.000 0.500
Ce 0.500 0.500 0.000
Mo 0.500 0.500 0.500


# 6
A plane-wave DFT calculation with PBE was carried out for a geometry-optimized CeMo6 structure.

Computed properties:
E_tot, eV per atom: -8.66
Magnetization, μB/cell: 0.04

Unit cell a=6.000 b=6.000 c=6.000 alpha=109.47 beta=109.47 gamma=109.47
Element x y z (fractional)
Ce 0.000 0.000 0.000
Mo 0.250 0.500 0.750
Mo 0.250 0.750 0.500
Mo 0.500 0.250 0.750
Mo 0.500 0.750 0.250
Mo 0.750 0.250 0.500
Mo 0.750 0.500 0.250


# 7
A plane-wave DFT calculation with PBE was carried out for a geometry-optimized Ce3Mo2N6 structure.

Computed properties:
Magnetization, μB/cell: 0.40
Energy relative to the elements, uncorrected, eV per atom: -1.10

Unit cell a=9.935 b=9.935 c=9.935 alpha=156.86 beta=156.86 gamma=32.95
Element x y z (fractional)
Ce 0.000 0.000 0.000
Ce 0.181 0.181 0.000
Ce 0.819 0.819 0.000
Mo 0.404 0.404 0.000
Mo 0.596 0.596 0.000
N 0.086 0.586 0.500
N 0.297 0.297 0.000
N 0.414 0.914 0.500
N 0.586 0.086 0.500
N 0.703 0.703 0.000
N 0.914 0.414 0.500


# 8
A plane-wave DFT calculation with PBE was carried out for a geometry-optimized Ce2MoN6 structure.

Computed properties:
Magnetization, μB/cell: 0.00
Energy relative to the elements, uncorrected, eV per atom: 0.00

Unit cell a=5.125 b=5.125 c=10.192 alpha=90.00 beta=90.00 gamma=90.00
Element x y z (fractional)
Ce 0.000 0.000 0.171
Ce 0.000 0.000 0.829
Ce 0.500 0.500 0.329
Ce 0.500 0.500 0.671
Mo 0.000 0.000 0.500
Mo 0.500 0.500 0.000
N 0.185 0.185 0.351
N 0.185 0.185 0.649
N 0.225 0.225 0.000
N 0.275 0.725 0.500
N 0.315 0.685 0.149
N 0.315 0.685 0.851
N 0.685 0.315 0.149
N 0.685 0.315 0.851
N 0.725 0.275 0.500
N 0.775 0.775 0.000
N 0.815 0.815 0.351
N 0.815 0.815 0.649


# 9
A plane-wave DFT calculation with PBE was carried out for a geometry-optimized Ce2MoN5 structure.

Computed properties:
Magnetization, μB/cell: 0.00
Energy relative to the elements, uncorrected, eV per atom: -0.66

Unit cell a=6.142 b=6.142 c=10.889 alpha=90.00 beta=90.00 gamma=141.27
Element x y z (fractional)
Ce 0.147 0.853 0.577
Ce 0.147 0.853 0.923
Ce 0.853 0.147 0.077
Ce 0.853 0.147 0.423
Mo 0.157 0.843 0.250
Mo 0.843 0.157 0.750
N 0.054 0.946 0.123
N 0.054 0.946 0.377
N 0.281 0.719 0.750
N 0.289 0.711 0.081
N 0.289 0.711 0.419
N 0.711 0.289 0.581
N 0.711 0.289 0.919
N 0.719 0.281 0.250
N 0.946 0.054 0.623
N 0.946 0.054 0.877


# 10
A plane-wave DFT calculation with PBE was carried out for a geometry-optimized Ce3MoN6 structure.

Computed properties:
Magnetization, μB/cell: 0.00
Energy relative to the elements, uncorrected, eV per atom: -1.19

Unit cell a=7.455 b=7.455 c=5.600 alpha=90.00 beta=90.00 gamma=103.53
Element x y z (fractional)
Ce 0.102 0.898 0.500
Ce 0.197 0.405 0.527
Ce 0.405 0.197 0.027
Ce 0.595 0.803 0.527
Ce 0.803 0.595 0.027
Ce 0.898 0.102 0.000
Mo 0.304 0.696 0.071
Mo 0.696 0.304 0.571
N 0.084 0.609 0.234
N 0.150 0.169 0.271
N 0.169 0.150 0.771
N 0.290 0.710 0.729
N 0.391 0.916 0.234
N 0.450 0.550 0.199
N 0.550 0.450 0.699
N 0.609 0.084 0.734
N 0.710 0.290 0.229
N 0.831 0.850 0.271
N 0.850 0.831 0.771
N 0.916 0.391 0.734


# 11
A plane-wave DFT calculation with PBE was carried out for a geometry-optimized Ce3Mo2N7 structure.

Computed properties:
Magnetization, μB/cell: 1.09
Energy relative to the elements, uncorrected, eV per atom: -0.76

Unit cell a=10.180 b=10.180 c=3.820 alpha=90.00 beta=90.00 gamma=156.95
Element x y z (fractional)
Ce 0.000 0.000 0.000
Ce 0.184 0.816 0.000
Ce 0.816 0.184 0.000
Mo 0.398 0.602 0.500
Mo 0.602 0.398 0.500
N 0.096 0.904 0.500
N 0.292 0.708 0.500
N 0.387 0.613 0.000
N 0.500 0.500 0.500
N 0.613 0.387 0.000
N 0.708 0.292 0.500
N 0.904 0.096 0.500


# 12
A plane-wave DFT calculation with PBE was carried out for a geometry-optimized CeMo2N4 structure.

Computed properties:
Magnetization, μB/cell: 0.00
Energy relative to the elements, uncorrected, eV per atom: -0.75

Unit cell a=5.226 b=5.226 c=9.983 alpha=90.00 beta=90.00 gamma=143.12
Element x y z (fractional)
Ce 0.122 0.878 0.750
Ce 0.878 0.122 0.250
Mo 0.384 0.616 0.557
Mo 0.384 0.616 0.943
Mo 0.616 0.384 0.057
Mo 0.616 0.384 0.443
N 0.000 0.000 0.000
N 0.000 0.000 0.500
N 0.263 0.737 0.109
N 0.263 0.737 0.391
N 0.433 0.567 0.750
N 0.567 0.433 0.250
N 0.737 0.263 0.609
N 0.737 0.263 0.891